## ScGaRe2Rh (GGA-PBEsol)

Data for a geometry-optimized ScGaRe2Rh structure.

Unit cell a=4.694 b=4.694 c=4.477 alpha=90.00 beta=90.00 gamma=90.00
Fractional positions:
Sc 0.000 0.000 0.000
Ga 0.500 0.500 0.000
Re 0.000 0.500 0.500
Re 0.500 0.000 0.500
Rh 0.500 0.500 0.500

Properties
- N(E_F): 4.945 states/eV/cell
- Size of the total moment: 0.000 μB/atom
- E_tot: -38.80 eV/cell